[1]
Material: CaY2Ni
Method: DFT, GGA-PBE
State: optimized geometry

Cell: 5.1003 5.1003 3.9559 Å, 90.00 90.00 90.00°
With the nearest neighbours (Å) after each atom.
Element x y z (fractional)
Ca1 0.0000 0.0000 0.0000  8 Y 3.23, 4 Ni 3.61
Y1 0.0000 0.5000 0.5000  4 Ni 3.23, 4 Ca 3.23, 4 Y 3.61
Y2 0.5000 0.0000 0.5000  4 Ni 3.23, 4 Ca 3.23, 4 Y 3.61
Ni1 0.5000 0.5000 0.0000  8 Y 3.23, 4 Ca 3.61

Properties
Formation energy   0.174 eV/atom

***

[2]
Material: Co2IrCl
Method: DFT, GGA-PBE
State: optimized geometry

Cell: 9.5358 9.5358 9.5358 Å, 16.65 16.65 16.65°
With the nearest neighbours (Å) after each atom.
Element x y z (fractional)
Co1 0.0000 0.0000 0.0000  9 Co 2.52-2.76, 3 Ir 2.56
Co2 0.2641 0.2641 0.2641  3 Cl 2.33, 3 Co 2.52
Ir1 0.7377 0.7377 0.7377  3 Co 2.56, 6 Ir 2.76
Cl1 0.5372 0.5372 0.5372  3 Co 2.33

Properties
Formation energy (no corrections)   144 kJ/mol of formula units

***

[3]
Material: CaIn2Cl
Method: DFT, GGA-PBE
State: optimized geometry

Cell: 8.2512 8.2512 8.2512 Å, 155.83 149.36 39.40°
With the nearest neighbours (Å) after each atom.
Element x y z (fractional)
Ca1 0.0000 0.0000 0.0000  4 Cl 2.78
In1 0.1976 0.6976 0.5000  6 In 3.22-3.46, 2 Ca 3.52
In2 0.8024 0.3024 0.5000  6 In 3.22-3.46, 2 Ca 3.52
Cl1 0.5000 0.5000 0.0000  4 Ca 2.78

Properties
Formation energy (no corrections)   -294 kJ/mol of formula units

***

[4]
Material: PaFe2Tc
Method: DFT, GGA-PBE
State: optimized geometry

Cell: 3.9368 3.9368 3.8551 Å, 90.00 90.00 90.00°
With the nearest neighbours (Å) after each atom.
Element x y z (fractional)
Pa1 0.0000 0.0000 0.0000  8 Fe 2.76, 4 Tc 2.78
Fe1 0.0000 0.5000 0.5000  4 Pa 2.76, 4 Tc 2.76, 4 Fe 2.78
Fe2 0.5000 0.0000 0.5000  4 Pa 2.76, 4 Tc 2.76, 4 Fe 2.78
Tc1 0.5000 0.5000 0.0000  8 Fe 2.76, 4 Pa 2.78

Properties
Formation energy   0.041 eV/atom

***

Number 1: calculated volume 25.7 Å³ per atom, energy above the lowest structure with this stoichiometry 1.248 eV per formula unit, M_tot 0.0 μB/f.u.. Number 2: calculated volume 15.5 Å³ per atom, energy above the lowest structure with this stoichiometry 0.448 eV per formula unit, M_tot 4.6 μB/f.u.. Number 3: calculated volume 29.3 Å³ per atom, energy above the lowest structure with this stoichiometry 0.277 eV per formula unit, M_tot 0.0 μB/f.u.. Number 4: calculated volume 14.9 Å³ per atom, energy above the lowest structure with this stoichiometry 0.000 eV per formula unit, M_tot 1.4 μB/f.u..